## GaO (PBE-GGA)

Data for a relaxed GaO crystal.

abc: 3.253 3.253 3.253
angles: 60.00 60.00 60.00
Fractional positions:
Ga 0.000 0.000 0.000
O 0.500 0.500 0.500

SG: Fm-3m
Spin magnetization, μB/cell: 0.00
Crystal system: cubic
Uncorrected formation energy, eV/atom: -0.85